# 1
Material: Zr2HgOs
Method: DFT, PBE-GGA
State: relaxed

POSCAR file:
```
Zr2HgOs
1.0
1.6479 0.9514 8.8504
-1.6479 0.9514 8.8504
0.0000 -1.9029 8.8504
Zr Hg Os
2 1 1
direct
0.2407 0.2407 0.2407
0.7593 0.7593 0.7593
0.0000 0.0000 0.0000
0.5000 0.5000 0.5000
```

SG	R-3m, No. 166
ρ	11.43	Mg/m³
ΔH_f (0 K)	-0.078	eV/atom
total moment	0.000	μB/atom

---

# 2
Material: ZrHg4Os
Method: DFT, PBE-GGA
State: relaxed

POSCAR file:
```
ZrHg4Os
1.0
0.0000 3.9439 3.9439
3.9439 0.0000 3.9439
3.9439 3.9439 0.0000
Zr Hg Os
1 4 1
direct
0.0000 0.0000 0.0000
0.1255 0.6248 0.6248
0.6248 0.1255 0.6248
0.6248 0.6248 0.1255
0.6248 0.6248 0.6248
0.2500 0.2500 0.2500
```

SG	F-43m, No. 216
ρ	14.67	Mg/m³
ΔH_f (0 K)	0.628	eV/atom
total moment	0.000	μB/atom

---

# 3
Material: ZrHgOs2
Method: DFT, PBE-GGA
State: relaxed

POSCAR file:
```
ZrHgOs2
1.0
2.8579 0.0000 0.0000
0.0000 3.7841 0.0000
-0.0156 0.0000 6.7789
Zr Hg Os
1 1 2
direct
0.0000 0.0000 0.0000
0.5007 0.5000 0.3010
0.0021 0.0000 0.5840
0.5033 0.5000 0.7369
```

SG	Pm, No. 6
ρ	15.23	Mg/m³
ΔH_f (0 K)	0.152	eV/atom
total moment	0.000	μB/atom

---

# 4
Material: Zr2HgOs
Method: DFT, PBE-GGA
State: relaxed

POSCAR file:
```
Zr2HgOs
1.0
0.0000 3.3591 3.3591
3.3591 0.0000 3.3591
3.3591 3.3591 0.0000
Zr Hg Os
2 1 1
direct
0.0000 0.0000 0.0000
0.2500 0.2500 0.2500
0.5000 0.5000 0.5000
0.7500 0.7500 0.7500
```

SG	F-43m, No. 216
ρ	12.56	Mg/m³
ΔH_f (0 K)	0.039	eV/atom
total moment	0.000	μB/atom

---

# 5
Material: ZrHgOs2
Method: DFT, PBE-GGA
State: relaxed

POSCAR file:
```
ZrHgOs2
1.0
4.6660 -1.5190 0.0000
4.6660 1.5190 0.0000
-1.0791 0.0000 4.9670
Zr Hg Os
1 1 2
direct
0.0000 0.0000 0.0000
0.5000 0.5000 0.5000
0.2591 0.2591 0.7743
0.7409 0.7409 0.2257
```

SG	C2/m, No. 12
ρ	15.85	Mg/m³
ΔH_f (0 K)	0.330	eV/atom
total moment	0.000	μB/atom

---

# 6
Material: Zr2HgOs
Method: DFT, PBE-GGA
State: relaxed

POSCAR file:
```
Zr2HgOs
1.0
3.4263 0.0000 0.0000
0.0000 3.4263 0.0000
0.0000 0.0000 6.7597
Zr Hg Os
2 1 1
direct
0.0000 0.0000 0.0000
0.5000 0.5000 0.2772
0.0000 0.0000 0.5440
0.5000 0.5000 0.8035
```

SG	P4mm, No. 99
ρ	12.00	Mg/m³
ΔH_f (0 K)	0.003	eV/atom
total moment	0.000	μB/atom

---

# 7
Material: ZrHgOs2
Method: DFT, PBE-GGA
State: relaxed

POSCAR file:
```
ZrHgOs2
1.0
1.4459 0.8348 9.7966
-1.4459 0.8348 9.7966
0.0000 -1.6695 9.7966
Zr Hg Os
1 1 2
direct
0.0000 0.0000 0.0000
0.2402 0.2402 0.2402
0.4873 0.4873 0.4873
0.7527 0.7527 0.7527
```

SG	R3m, No. 160
ρ	15.74	Mg/m³
ΔH_f (0 K)	0.353	eV/atom
total moment	0.000	μB/atom

---

# 8
Material: Zr4HgOs
Method: DFT, PBE-GGA
State: relaxed

POSCAR file:
```
Zr4HgOs
1.0
0.0000 3.9580 3.9580
3.9580 0.0000 3.9580
3.9580 3.9580 0.0000
Zr Hg Os
4 1 1
direct
0.3769 0.3769 0.3769
0.3769 0.3769 0.8692
0.3769 0.8692 0.3769
0.8692 0.3769 0.3769
0.0000 0.0000 0.0000
0.7500 0.7500 0.7500
```

SG	F-43m, No. 216
ρ	10.12	Mg/m³
ΔH_f (0 K)	0.475	eV/atom
total moment	0.000	μB/atom

---

# 9
Material: Zr2HgOs
Method: DFT, PBE-GGA
State: relaxed

POSCAR file:
```
Zr2HgOs
1.0
1.7451 -2.4824 0.0000
1.7451 2.4824 0.0000
0.0000 0.0000 9.3983
Zr Hg Os
2 1 1
direct
0.0000 0.0000 0.0000
0.5000 0.5000 0.2822
0.5000 0.5000 0.7343
0.0000 0.0000 0.4879
```

SG	Cmm2, No. 35
ρ	11.69	Mg/m³
ΔH_f (0 K)	0.210	eV/atom
total moment	0.000	μB/atom

---

# 10
Material: Zr2HgOs
Method: DFT, PBE-GGA
State: relaxed

POSCAR file:
```
Zr2HgOs
1.0
-2.0704 2.0704 4.5294
2.0704 -2.0704 4.5294
2.0704 2.0704 -4.5294
Zr Hg Os
2 1 1
direct
0.0000 0.0000 0.0000
0.7500 0.2500 0.5000
0.2500 0.7500 0.5000
0.5000 0.5000 0.0000
```

SG	I-4m2, No. 119
ρ	12.26	Mg/m³
ΔH_f (0 K)	-0.035	eV/atom
total moment	0.000	μB/atom

---

# 11
Material: ZrHgOs2
Method: DFT, PBE-GGA
State: relaxed

POSCAR file:
```
ZrHgOs2
1.0
-1.5561 2.3132 4.9434
1.5561 -2.3132 4.9434
1.5561 2.3132 -4.9434
Zr Hg Os
1 1 2
direct
0.0000 0.0000 0.0000
0.2808 0.7808 0.5000
0.5307 0.5307 0.0000
0.7411 0.2411 0.5000
```

SG	Imm2, No. 44
ρ	15.68	Mg/m³
ΔH_f (0 K)	0.316	eV/atom
total moment	0.000	μB/atom

---

# 12
Material: Zr2HgOs
Method: DFT, PBE-GGA
State: relaxed

POSCAR file:
```
Zr2HgOs
1.0
1.5936 0.9201 9.3877
-1.5936 0.9201 9.3877
0.0000 -1.8401 9.3877
Zr Hg Os
2 1 1
direct
0.0000 0.0000 0.0000
0.2406 0.2406 0.2406
0.7553 0.7553 0.7553
0.5039 0.5039 0.5039
```

SG	R3m, No. 160
ρ	11.53	Mg/m³
ΔH_f (0 K)	0.231	eV/atom
total moment	0.000	μB/atom

---

# 13
Material: Zr2HgOs
Method: DFT, PBE-GGA
State: relaxed

POSCAR file:
```
Zr2HgOs
1.0
3.5080 -1.6096 0.0000
3.5080 1.6096 0.0000
-1.1692 0.0000 7.7943
Zr Hg Os
2 1 1
direct
0.2487 0.2487 0.2079
0.7513 0.7513 0.7921
0.0000 0.0000 0.5000
0.5000 0.5000 0.0000
```

SG	C2/m, No. 12
ρ	10.81	Mg/m³
ΔH_f (0 K)	-0.049	eV/atom
total moment	0.000	μB/atom

---

# 14
Material: Zr2HgOs
Method: DFT, PBE-GGA
State: relaxed

POSCAR file:
```
Zr2HgOs
1.0
3.2474 0.0000 0.0000
0.0000 3.2474 0.0000
0.0000 0.0000 7.5494
Zr Hg Os
2 1 1
direct
0.0000 0.0000 0.2191
0.0000 0.0000 0.7809
0.5000 0.5000 0.5000
0.5000 0.5000 0.0000
```

SG	P4/mmm, No. 123
ρ	11.96	Mg/m³
ΔH_f (0 K)	-0.324	eV/atom
total moment	0.000	μB/atom

---

# 15
Material: HgP5
Method: DFT, PBE-GGA
State: relaxed

POSCAR file:
```
HgP5
1.0
6.3127 -1.5878 0.0000
6.3127 1.5878 0.0000
-1.9076 0.0000 5.8716
Hg P
1 5
direct
0.0000 0.0000 0.0000
0.2281 0.2281 0.6385
0.3316 0.3316 0.3985
0.5820 0.5820 0.4125
0.7741 0.7741 0.9017
0.9609 0.9609 0.5394
```

SG	Cm, No. 8
ρ	5.01	Mg/m³
ΔH_f (0 K)	0.288	eV/atom
energy above the lowest structure with this stoichiometry	0.0387	eV/atom
total moment	0.000	μB/atom

---

# 16
Material: Hg5P
Method: DFT, PBE-GGA
State: relaxed

POSCAR file:
```
Hg5P
1.0
5.7013 0.0000 0.0000
0.0000 2.2805 6.4620
0.0000 -2.2805 6.4620
Hg P
5 1
direct
0.0000 0.0000 0.0000
0.0000 0.2823 0.2823
0.5000 0.0482 0.0482
0.5000 0.3809 0.3809
0.5000 0.7036 0.7036
0.0000 0.7035 0.7035
```

SG	Amm2, No. 38
ρ	10.22	Mg/m³
ΔH_f (0 K)	0.192	eV/atom
energy above the lowest structure with this stoichiometry	0.0335	eV/atom
total moment	0.000	μB/atom

---

# 17
Material: Hg5P
Method: DFT, PBE-GGA
State: relaxed

POSCAR file:
```
Hg5P
1.0
0.0000 4.2338 4.2338
4.2338 0.0000 4.2338
4.2338 4.2338 0.0000
Hg P
5 1
direct
0.0000 0.0000 0.0000
0.1259 0.6247 0.6247
0.6247 0.1259 0.6247
0.6247 0.6247 0.1259
0.6247 0.6247 0.6247
0.2500 0.2500 0.2500
```

SG	F-43m, No. 216
ρ	11.31	Mg/m³
ΔH_f (0 K)	0.488	eV/atom
energy above the lowest structure with this stoichiometry	0.3296	eV/atom
total moment	0.000	μB/atom

---

# 18
Material: HgP7
Method: DFT, PBE-GGA
State: relaxed

POSCAR file:
```
HgP7
1.0
0.0000 4.0343 4.0343
4.0343 0.0000 4.0343
4.0343 4.0343 0.0000
Hg P
1 7
direct
0.0000 0.0000 0.0000
0.0000 0.0000 0.5000
0.0000 0.5000 0.0000
0.0000 0.5000 0.5000
0.5000 0.0000 0.0000
0.5000 0.0000 0.5000
0.5000 0.5000 0.0000
0.5000 0.5000 0.5000
```

SG	Fm-3m, No. 225
ρ	5.28	Mg/m³
ΔH_f (0 K)	0.971	eV/atom
total moment	0.000	μB/atom

---

# 19
Material: HgP3
Method: DFT, PBE-GGA
State: relaxed

POSCAR file:
```
HgP3
1.0
5.0890 0.0000 0.0000
0.0000 5.0890 0.0000
0.0000 0.0000 5.0890
Hg P
1 3
direct
0.0000 0.0000 0.0000
0.0000 0.0000 0.5000
0.0000 0.5000 0.0000
0.5000 0.0000 0.0000
```

SG	Pm-3m, No. 221
ρ	3.70	Mg/m³
ΔH_f (0 K)	1.825	eV/atom
energy above the lowest structure with this stoichiometry	1.7156	eV/atom
total moment	0.000	μB/atom

---

# 20
Material: HgP3
Method: DFT, PBE-GGA
State: relaxed

POSCAR file:
```
HgP3
1.0
6.4520 0.0000 0.0000
0.0000 6.2854 0.0000
0.0000 0.0000 7.8256
Hg P
4 12
direct
0.0709 0.2500 0.1287
0.4291 0.7500 0.6287
0.5709 0.2500 0.3713
0.9291 0.7500 0.8713
0.0788 0.2500 0.6038
0.2031 0.0119 0.4138
0.2031 0.4881 0.4138
0.2969 0.5119 0.9138
0.2969 0.9881 0.9138
0.4212 0.7500 0.1038
0.5788 0.2500 0.8962
0.7031 0.0119 0.0862
0.7031 0.4881 0.0862
0.7969 0.5119 0.5862
0.7969 0.9881 0.5862
0.9212 0.7500 0.3962
```

SG	Pnma, No. 62
ρ	6.14	Mg/m³
ΔH_f (0 K)	0.397	eV/atom
energy above the lowest structure with this stoichiometry	0.2874	eV/atom
total moment	0.000	μB/atom